A relaxed structure of ScIr4Cl, computed with PBE-GGA.

Cell lengths 5.272, 5.272, 5.272 Å; angles 60.00, 60.00, 60.00 degrees
Element x y z (fractional)
1 Ir 0.375 0.375 0.375
2 Ir 0.375 0.874 0.375
3 Ir 0.874 0.375 0.375
4 Ir 0.375 0.375 0.874
5 Cl 0.000 0.000 0.000
6 Sc 0.750 0.750 0.750

Computed properties:
**Fermi-level density of states**: 12.4 states/eV/f.u.
**Energy relative to the elements, uncorrected**: 0.231 eV/atom
**VASP energy**: -7.0395 eV per atom
**Magnetic moment**: 0.0 μB per cell